Compound: SnHgSO
Source: OQMD via LeMat-Bulk
Functional: PBE-GGA
Structure: optimized geometry

Summary:
- ΔE to the lowest computed polymorph (meV/atom) = 92.9
- theoretical density (kg/m³) = 7384

Structure (CIF):
```
data_SnHgSO
_cell_length_a 7.553
_cell_length_b 11.139
_cell_length_c 7.857
_cell_angle_alpha 90.00
_cell_angle_beta 90.00
_cell_angle_gamma 90.00
_space_group_name_H-M_alt 'P b c a'
_space_group_IT_number 61
loop_
_space_group_symop_operation_xyz
'x,y,z'
'-x,-y,-z'
'-x+1/2,-y,z+1/2'
'x+1/2,y,-z+1/2'
'x+1/2,-y+1/2,-z'
'-x+1/2,y+1/2,z'
'-x,y+1/2,-z+1/2'
'x,-y+1/2,z+1/2'
loop_
_atom_site_label
_atom_site_fract_x
_atom_site_fract_y
_atom_site_fract_z
Sn1 0.246 0.017 0.166
Hg1 0.248 0.228 0.004
S1 0.002 0.120 0.746
O1 0.243 0.585 0.424
```